Material: Li2SmPd9
Method: DFT, PBE
State: optimized geometry

```
Li2SmPd9
1.0
-3.105 2.618 -0.185
-0.419 -0.212 4.039
7.366 8.824 1.227
Pd Li Sm
9 2 1
Cartesian
-1.762 1.203 1.927
2.131 5.721 0.521
3.079 7.003 2.733
4.454 8.505 0.908
0.762 4.228 2.347
-0.193 2.938 0.134
3.474 4.306 2.633
5.797 7.090 3.020
1.150 1.523 2.246
4.833 5.790 0.805
2.533 3.034 0.422
0.000 0.000 0.000
```

Results
electronic total energy	-60.38	eV/cell

Material: Pm6Pr2SmEr
Method: DFT, PBE
State: optimized geometry

```
Pm6Pr2SmEr
1.0
-7.961 0.286 5.858
3.356 -7.403 3.754
3.163 7.914 2.743
Pr Pm Er Sm
4 12 2 2
Cartesian
-2.721 1.432 10.458
1.279 -0.635 1.897
-2.721 1.053 4.724
1.279 -0.256 7.631
-4.430 2.064 7.643
-1.032 2.093 7.428
2.989 -1.267 4.711
-0.409 -1.295 4.927
-3.773 -4.227 9.521
-1.911 4.862 9.049
-1.528 -4.405 6.394
0.469 -4.064 3.305
0.086 5.202 5.961
2.331 5.024 2.833
-3.619 4.617 5.670
2.178 -3.820 6.684
1.252 1.737 4.620
-2.693 -0.939 7.735
1.363 -7.058 5.200
-2.804 7.855 7.154
```

Results
electronic total energy	-92.42	eV/cell

Material: ZnNiP
Method: DFT, PBE
State: optimized geometry

```
ZnNiP
1.0
4.590 -3.939 0.000
4.590 3.939 0.000
0.000 0.000 3.526
Zn Ni P
3 3 3
Cartesian
6.029 2.405 0.000
6.029 -2.405 0.000
6.834 0.000 0.000
3.332 -2.462 1.763
3.332 2.462 1.763
2.775 0.000 1.763
3.974 -1.142 0.000
3.974 1.142 0.000
0.438 0.000 1.763
```

Results
electronic total energy	-38.57	eV/cell

Q: Which value of electronic total energy does entry 3 give?
A: -38.57 eV/cell

Q: The highest electronic total energy belongs to which entry?
A: ZnNiP

Q: Which value of electronic total energy does entry 2 give?
A: -92.42 eV/cell

Q: electronic total energy of number 2 (Pm6Pr2SmEr)?
A: -92.42 eV/cell